# 1
VASP calculation (PBE-GGA) on a relaxed Nd8PdAu2 crystal.

POSCAR file:
```
Nd8PdAu2
1.0
0.3512 2.3975 -5.6436
-0.3746 -8.0457 -1.6285
-6.8974 3.4427 2.8460
Nd Pd Au
8 1 2
direct
0.6019 0.3501 0.1008 Nd
0.6019 0.1008 0.3501 Nd
0.1830 0.3725 0.3725 Nd
0.9845 0.2000 0.7985 Nd
0.9845 0.7985 0.2000 Nd
0.7922 0.6375 0.6375 Nd
0.3525 0.9010 0.6526 Nd
0.3525 0.6526 0.9010 Nd
0.1693 0.0119 0.0119 Pd
0.4886 0.7038 0.3053 Au
0.4886 0.3053 0.7038 Au
```

## Properties
ΔH_f (0 K), meV per atom: -288
Calculated total energy, eV per atom: -4.824

=====

# 2
VASP calculation (PBE-GGA) on a relaxed Nd2Pd7Au3 crystal.

POSCAR file:
```
Nd2Pd7Au3
1.0
4.0804 -1.7077 1.4291
-1.7583 6.2860 -2.4334
3.7578 -5.0849 12.5397
Nd Pd Au
2 7 3
direct
0.0267 0.0202 0.7695 Nd
0.9733 0.9798 0.2305 Nd
0.9968 0.4875 0.7358 Pd
0.7220 0.8179 0.5698 Pd
0.0000 0.0000 0.0000 Pd
0.0032 0.5125 0.2642 Pd
0.6587 0.3381 0.0939 Pd
0.3413 0.6619 0.9061 Pd
0.2780 0.1821 0.4302 Pd
0.5000 0.5000 0.0000 Au
0.3682 0.6673 0.4174 Au
0.6318 0.3327 0.5826 Au
```

## Properties
ΔH_f (0 K), meV per atom: -506
Calculated total energy, eV per atom: -5.149

=====

# 3
VASP calculation (PBE-GGA) on a relaxed Nd2Pd6Au crystal.

POSCAR file:
```
Nd2Pd6Au
1.0
4.2708 0.0000 -1.2771
-0.6304 8.1176 -2.1080
-0.7177 -0.3671 5.3792
Nd Pd Au
2 6 1
direct
0.9816 0.2222 0.9632 Nd
0.0184 0.7778 0.0368 Nd
0.3545 0.9472 0.7091 Pd
0.6455 0.0528 0.2909 Pd
0.7328 0.7777 0.4657 Pd
0.2254 0.5758 0.4508 Pd
0.2672 0.2223 0.5343 Pd
0.7746 0.4242 0.5492 Pd
0.5000 0.5000 0.0000 Au
```

## Properties
ΔH_f (0 K), meV per atom: -618
Calculated total energy, eV per atom: -5.504

=====

# 4
VASP calculation (PBE-GGA) on a relaxed NdPdAu4 crystal.

POSCAR file:
```
NdPdAu4
1.0
5.3695 0.0772 -1.1184
-0.6093 6.7090 -2.4626
-0.7301 -1.1672 7.4463
Nd Pd Au
2 2 8
direct
0.1519 0.2156 0.4312 Nd
0.8481 0.7844 0.5688 Nd
0.7598 0.5337 0.0675 Pd
0.2402 0.4663 0.9325 Pd
0.7389 0.3179 0.6358 Au
0.5708 0.3141 0.2332 Au
0.0000 0.1898 0.0000 Au
0.4292 0.0809 0.7668 Au
0.2611 0.6821 0.3642 Au
0.4292 0.6859 0.7668 Au
0.0000 0.8102 0.0000 Au
0.5708 0.9191 0.2332 Au
```

## Properties
ΔH_f (0 K), meV per atom: -432
Calculated total energy, eV per atom: -4.277

=====

# 5
VASP calculation (PBE-GGA) on a relaxed NdPd2Au2 crystal.

POSCAR file:
```
NdPd2Au2
1.0
-3.9760 -0.3094 -0.5617
0.3338 -4.0106 -0.1538
0.0773 1.5281 13.0492
Nd Pd Au
2 4 4
direct
0.6235 0.6235 0.2469 Nd
0.3765 0.3765 0.7531 Nd
0.7500 0.2500 0.5000 Pd
0.9249 0.9249 0.8499 Pd
0.0751 0.0751 0.1501 Pd
0.2500 0.7500 0.5000 Pd
0.0000 0.5000 0.0000 Au
0.1774 0.1774 0.3548 Au
0.5000 0.0000 0.0000 Au
0.8226 0.8226 0.6452 Au
```

## Properties
ΔH_f (0 K), meV per atom: -507
Calculated total energy, eV per atom: -4.848

=====

# 6
VASP calculation (PBE-GGA) on a relaxed NdPd7Au12 crystal.

POSCAR file:
```
NdPd7Au12
1.0
8.4651 0.0000 0.0000
-2.8217 7.9810 0.0000
-2.8217 -3.9905 6.9117
Nd Pd Au
1 7 12
direct
0.0000 0.0000 0.0000 Nd
0.5000 0.0000 0.5000 Pd
0.5000 0.5000 0.0000 Pd
0.0000 0.5000 0.5000 Pd
0.0000 0.0000 0.5000 Pd
0.5000 0.0000 0.0000 Pd
0.5000 0.5000 0.5000 Pd
0.0000 0.5000 0.0000 Pd
0.2728 0.1506 0.4234 Au
0.2728 0.8494 0.1222 Au
0.7272 0.8494 0.5766 Au
0.7272 0.1506 0.8778 Au
0.4234 0.2728 0.1506 Au
0.8778 0.7272 0.1506 Au
0.5766 0.7272 0.8494 Au
0.1222 0.2728 0.8494 Au
0.8494 0.1222 0.2728 Au
0.1506 0.8778 0.7272 Au
0.1506 0.4234 0.2728 Au
0.8494 0.5766 0.7272 Au
```

## Properties
ΔH_f (0 K), meV per atom: 311
Calculated total energy, eV per atom: -3.712

=====

# 7
VASP calculation (PBE-GGA) on a relaxed Nd4Pd12Au crystal.

POSCAR file:
```
Nd4Pd12Au
1.0
7.0802 0.0000 -2.5032
-3.5401 6.1316 -2.5032
0.0000 0.0000 7.5097
Nd Pd Au
4 12 1
direct
0.0000 0.0000 0.5000 Nd
0.5000 0.0000 0.0000 Nd
0.5000 0.5000 0.5000 Nd
0.0000 0.5000 0.0000 Nd
0.0000 0.3048 0.3048 Pd
0.0000 0.6952 0.6952 Pd
0.6952 0.6952 0.0000 Pd
0.3048 0.3048 0.0000 Pd
0.3048 0.0000 0.3048 Pd
0.6952 0.0000 0.6952 Pd
0.5000 0.2500 0.7500 Pd
0.5000 0.7500 0.2500 Pd
0.7500 0.2500 0.5000 Pd
0.2500 0.7500 0.5000 Pd
0.7500 0.5000 0.2500 Pd
0.2500 0.5000 0.7500 Pd
0.0000 0.0000 0.0000 Au
```

## Properties
ΔH_f (0 K), meV per atom: -730
Calculated total energy, eV per atom: -5.710

=====

# 8
VASP calculation (PBE-GGA) on a relaxed NdPd2Au5 crystal.

POSCAR file:
```
NdPd2Au5
1.0
-2.3323 -1.2033 -3.2041
2.2946 -5.7815 -2.1759
-4.5352 -4.2367 2.2154
Nd Pd Au
1 2 5
direct
0.0000 0.0000 0.0000 Nd
0.7081 0.7919 0.7919 Pd
0.2919 0.2081 0.2081 Pd
0.0000 0.5000 0.5000 Au
0.6547 0.5243 0.1662 Au
0.3453 0.4757 0.8338 Au
0.3453 0.8338 0.4757 Au
0.6547 0.1662 0.5243 Au
```

## Properties
ΔH_f (0 K), meV per atom: -302
Calculated total energy, eV per atom: -4.244

=====

# 9
VASP calculation (PBE-GGA) on a relaxed Nd2PdAu3 crystal.

POSCAR file:
```
Nd2PdAu3
1.0
-1.8641 2.5170 -1.8822
-3.0126 0.5769 3.7551
4.7127 5.6665 2.9103
Nd Pd Au
2 1 3
direct
0.0000 0.5000 0.0127 Nd
0.0000 0.0000 0.4947 Nd
0.5000 0.5000 0.3243 Pd
0.5000 0.0000 0.8284 Au
0.5000 0.0000 0.1740 Au
0.5000 0.5000 0.6659 Au
```

## Properties
ΔH_f (0 K), meV per atom: -749
Calculated total energy, eV per atom: -4.842

=====

# 10
VASP calculation (PBE-GGA) on a relaxed NdPdAu11 crystal.

POSCAR file:
```
NdPdAu11
1.0
-4.6614 -3.0359 -0.3567
0.8769 -6.3642 -3.4122
-0.8379 -4.5111 5.7880
Nd Pd Au
1 1 11
direct
0.0000 0.0000 0.0000 Nd
0.5000 0.5000 0.0000 Pd
0.2886 0.2138 0.2117 Au
0.7114 0.7862 0.7883 Au
0.4997 0.7862 0.2117 Au
0.5003 0.2138 0.7883 Au
0.3611 0.6484 0.6585 Au
0.6389 0.3516 0.3415 Au
0.9804 0.3516 0.6585 Au
0.0196 0.6484 0.3415 Au
0.0000 0.5000 0.0000 Au
0.5000 0.0000 0.5000 Au
0.0000 0.0000 0.5000 Au
```

## Properties
ΔH_f (0 K), meV per atom: -217
Calculated total energy, eV per atom: -3.756

=====

# 11
VASP calculation (PBE-GGA) on a relaxed NdPd2Au8 crystal.

POSCAR file:
```
NdPd2Au8
1.0
-2.8931 -1.2156 2.8114
-0.5710 -6.4917 -3.3955
5.2365 -0.6257 5.1170
Nd Pd Au
1 2 8
direct
0.5000 0.0000 0.0000 Nd
0.0000 0.3855 0.6145 Pd
0.0000 0.6145 0.3855 Pd
0.9999 0.9608 0.6824 Au
0.9999 0.6824 0.9608 Au
0.4999 0.6628 0.6628 Au
0.5000 0.7512 0.2488 Au
0.5000 0.2488 0.7512 Au
0.5001 0.3372 0.3372 Au
0.0001 0.3176 0.0392 Au
0.0001 0.0392 0.3176 Au
```

## Properties
ΔH_f (0 K), meV per atom: -198
Calculated total energy, eV per atom: -3.959

=====

# 12
VASP calculation (PBE-GGA) on a relaxed Nd3Pd4Au2 crystal.

POSCAR file:
```
Nd3Pd4Au2
1.0
-1.3345 -0.5742 -4.5459
0.8341 -4.5541 2.8354
-8.2401 1.5835 2.2189
Nd Pd Au
3 4 2
direct
0.3840 0.7680 0.6247 Nd
0.0000 0.0000 0.0000 Nd
0.6160 0.2320 0.3753 Nd
0.7049 0.4098 0.0737 Pd
0.0826 0.1651 0.6435 Pd
0.9174 0.8349 0.3565 Pd
0.2951 0.5902 0.9263 Pd
0.2828 0.5656 0.2489 Au
0.7172 0.4344 0.7511 Au
```

## Properties
ΔH_f (0 K), meV per atom: -732
Calculated total energy, eV per atom: -5.358